Compound: TlGe4
Source: the Alexandria database
Functional: PBE-GGA
Structure: relaxed

a = 5.3088 Å, b = 5.3088 Å, c = 5.3088 Å
α = 90.00°, β = 90.00°, γ = 90.00°
Last column: nearest neighbours and their distance in Å.
Space group Pm-3m (No. 221)
Unique sites:
Tl  0.0000  0.0000  0.0000 [1 per cell]  6 Ge 2.65
Ge  0.0000  0.0000  0.5000 [3 per cell]  2 Tl 2.65
Ge  0.5000  0.5000  0.5000 [1 per cell]  12 Ge 3.75

Computed properties:
Energy: -3.021 eV per atom
Energy of formation: 1.15 eV/atom